{"formula": "Zr2C", "functional": "PBE-GGA", "state": "optimized geometry", "lattice": [[-1.3046, 2.2559, 3.1499], [1.4656, -0.6893, 3.7536], [2.5073, 2.7162, 1.7461]], "species": ["C", "Zr", "Zr"], "frac_coords": [[0.0000, 0.0000, 0.0000], [0.2500, 0.2500, 0.2500], [0.7500, 0.7500, 0.7500]], "e_form_kcal_per_mol_atoms": -0.8, "spacegroup": "No. 225", "total_energy_ev_per_cell": -26.4}